1.
Material: Ce2MgGa4Rh3
Method: DFT, PBE-GGA
State: relaxed

Properties
Energy of formation in eV/atom: -0.66

Lattice parameters (Å, degrees): 4.0349 4.0349 11.6643 90.00 90.00 90.00
Space group P-4m2 (No. 115)
Unique sites:
Ce1 0.0000 0.5000 0.2288 x2
Mg1 0.0000 0.0000 0.5000 x1
Ga1 0.0000 0.0000 0.0000 x1
Ga2 0.0000 0.5000 0.6440 x2
Ga3 0.5000 0.5000 0.0000 x1
Rh1 0.0000 0.5000 0.8599 x2
Rh2 0.5000 0.5000 0.5000 x1



2.
Material: CsBiICl2
Method: DFT, PBE-GGA
State: relaxed

Properties
Uncorrected formation energy in kcal/mol of atoms: -24.67

Lattice parameters (Å, degrees): 5.6323 5.6323 6.5588 90.00 90.00 90.00
Space group P4/mmm (No. 123)
Unique sites:
Cs1 0.0000 0.0000 0.0000 x1
Bi1 0.5000 0.5000 0.5000 x1
I1 0.5000 0.5000 0.0000 x1
Cl1 0.0000 0.5000 0.5000 x2



3.
Material: K2CaCl
Method: DFT, PBE-GGA
State: relaxed

Properties
Excess energy over the best structure of this formula in the dataset in meV/atom: 177
Uncorrected formation energy in kcal/mol of atoms: -15.58

Lattice parameters (Å, degrees): 12.1784 12.1784 5.5018 90.00 90.00 90.00
Space group I-42d (No. 122)
Unique sites:
K1 0.1188 0.2500 0.1250 x8
Ca1 0.0000 0.0000 0.5000 x4
Cl1 0.0000 0.0000 0.0000 x4



4.
Material: Th2TaCrN6
Method: DFT, PBE-GGA
State: relaxed

Properties
Uncorrected formation energy in kcal/mol of atoms: -26.81

Lattice parameters (Å, degrees): 5.5701 5.6175 9.6376 90.00 125.18 90.00
Space group P2_1/c (No. 14)
Unique sites:
Th1 0.2459 0.0410 0.2496 x4
Ta1 0.5000 0.0000 0.0000 x2
Cr1 0.0000 0.0000 0.5000 x2
N1 0.1608 0.2104 0.9615 x4
N2 0.2482 0.6985 0.9614 x4
N3 0.3163 0.0152 0.7431 x4



5.
Material: TiGaP2Cl
Method: DFT, PBE-GGA
State: relaxed

Properties
Excess energy over the best structure of this formula in the dataset in meV/atom: 0
Uncorrected formation energy in kcal/mol of atoms: -3.81

Lattice parameters (Å, degrees): 4.6989 4.6989 5.1304 90.00 90.00 90.00
Space group P4/mmm (No. 123)
Unique sites:
Ti1 0.0000 0.0000 0.0000 x1
Ga1 0.5000 0.5000 0.5000 x1
P1 0.0000 0.5000 0.0000 x2
Cl1 0.0000 0.0000 0.5000 x1



6.
Material: SnH4N2F2
Method: DFT, PBE-GGA
State: relaxed

Properties
Uncorrected energy in eV per atom: -5.205

Lattice parameters (Å, degrees): 10.7813 3.3143 5.1724 90.00 104.24 90.00
Space group C2/m (No. 12)
Unique sites:
Sn1 0.0000 0.0000 0.0000 x2
H1 0.1059 0.5000 0.4194 x4
H2 0.2021 0.5000 0.2132 x4
N1 0.1073 0.5000 0.2217 x4
F1 0.1214 0.0000 0.7514 x4



7.
Material: TiCd3N
Method: DFT, PBE-GGA
State: relaxed

Properties
Excess energy over the best structure of this formula in the dataset in meV/atom: 0
Uncorrected formation energy in kcal/mol of atoms: 17.94

Lattice parameters (Å, degrees): 4.6172 4.6172 4.6172 90.00 90.00 90.00
Space group Pm-3m (No. 221)
Unique sites:
Ti1 0.0000 0.0000 0.0000 x1
Cd1 0.0000 0.5000 0.5000 x3
N1 0.5000 0.5000 0.5000 x1



8.
Material: Ac2Tl3PbSe6
Method: DFT, PBE-GGA
State: relaxed

Properties
Uncorrected formation energy in kcal/mol of atoms: -24.61

Lattice parameters (Å, degrees): 19.9615 4.5205 9.0898 90.00 104.45 90.00
Space group C2/m (No. 12)
Unique sites:
Ac1 0.1640 0.0000 0.3264 x4
Tl1 0.0000 0.5000 0.5000 x2
Tl2 0.1669 0.0000 0.8333 x4
Pb1 0.0000 0.5000 0.0000 x2
Se1 0.0037 0.0000 0.2407 x4
Se2 0.1605 0.5000 0.0927 x4
Se3 0.1733 0.5000 0.5663 x4



9.
Material: NiHRu2Pt
Method: DFT, PBE-GGA
State: relaxed

Properties
Uncorrected energy in eV per atom: -6.625

Lattice parameters (Å, degrees): 3.8628 3.8628 3.8351 90.00 90.00 90.00
Space group P4/mmm (No. 123)
Unique sites:
Ni1 0.0000 0.0000 0.0000 x1
H1 0.0000 0.0000 0.5000 x1
Ru1 0.0000 0.5000 0.5000 x2
Pt1 0.5000 0.5000 0.0000 x1



10.
Material: Tb2PmDy7
Method: DFT, PBE-GGA
State: relaxed

Properties
Energy of formation in eV/atom: 0.01
Excess energy over the best structure of this formula in the dataset in meV/atom: 0

Lattice parameters (Å, degrees): 6.1482 7.1133 7.9421 77.06 75.08 73.30
Space group P-1 (No. 2)
Unique sites:
Tb1 0.2004 0.2994 0.0996 x2
Pm1 0.0000 0.5000 0.5000 x1
Dy1 0.0000 0.0000 0.5000 x1
Dy2 0.1998 0.8006 0.0997 x2
Dy3 0.4001 0.6002 0.7006 x2
Dy4 0.4007 0.0993 0.7006 x2



11.
Material: K2RbPtAu
Method: DFT, PBE-GGA
State: relaxed

Properties
Energy of formation in eV/atom: -0.03
Excess energy over the best structure of this formula in the dataset in meV/atom: 0

Lattice parameters (Å, degrees): 6.0765 6.0765 5.3205 90.00 90.00 90.00
Space group P4/mmm (No. 123)
Unique sites:
K1 0.0000 0.5000 0.0000 x2
Rb1 0.0000 0.0000 0.5000 x1
Pt1 0.5000 0.5000 0.0000 x1
Au1 0.5000 0.5000 0.5000 x1



12.
Material: PrSm3Er7
Method: DFT, PBE-GGA
State: relaxed

Properties
Energy of formation in eV/atom: 0.15
Excess energy over the best structure of this formula in the dataset in meV/atom: 0

Lattice parameters (Å, degrees): 5.5152 6.9549 9.9581 70.10 89.99 89.95
Space group P-1 (No. 2)
Unique sites:
Pr1 0.0000 0.0000 0.0000 x1
Sm1 0.0000 0.5000 0.0000 x1
Sm2 0.4995 0.2820 0.5021 x2
Er1 0.0000 0.0000 0.5000 x1
Er2 0.9999 0.4207 0.6694 x2
Er3 0.5000 0.1468 0.2115 x2
Er4 0.4999 0.3215 0.8593 x2



| no. | ρ (g/cm3) | volume (Å³/cell) |
| --- | --- | --- |
| 1 | 7.80 | 189.90 |
| 2 | 4.31 | 208.06 |
| 3 | 1.25 | 815.99 |
| 4 | 10.52 | 246.48 |
| 5 | 3.15 | 113.28 |
| 6 | 3.50 | 179.15 |
| 7 | 6.73 | 98.43 |
| 8 | 7.31 | 794.28 |
| 9 | 13.26 | 57.22 |
| 10 | 8.38 | 317.22 |
| 11 | 4.70 | 196.45 |
| 12 | 8.15 | 359.15 |